Compound: YPb3Au
Source: Alexandria via LeMat-Bulk
Functional: PBE-GGA
Structure: relaxed

total magnetic moment = 0.00 μB/f.u.
energy relative to the elements = 0.678 eV/atom
space-group type = Pm-3m, No. 221
energy above the lowest structure with this stoichiometry = 458.0 meV per atom

abc: 5.8852 5.8852 5.8852
angles: 90.00 90.00 90.00
Fractional coordinates of all 5 atoms:
Y 0.0000 0.0000 0.0000
Pb 0.0000 0.0000 0.5000
Pb 0.0000 0.5000 0.0000
Pb 0.5000 0.0000 0.0000
Au 0.5000 0.5000 0.5000



Compound: SrTi3Tl
Source: Alexandria via LeMat-Bulk
Functional: PBE-GGA
Structure: relaxed

total magnetic moment = 6.74 μB/f.u.
energy relative to the elements = 1.014 eV/atom
space-group type = Pm-3m, No. 221
energy above the lowest structure with this stoichiometry = 0.0 meV per atom

abc: 5.3208 5.3208 5.3208
angles: 90.00 90.00 90.00
Fractional coordinates of all 5 atoms:
Sr 0.0000 0.0000 0.0000
Ti 0.0000 0.5000 0.5000
Ti 0.5000 0.0000 0.5000
Ti 0.5000 0.5000 0.0000
Tl 0.5000 0.5000 0.5000



Compound: ErPuSc2Se4
Source: Alexandria via LeMat-Bulk
Functional: PBE-GGA
Structure: relaxed

total magnetic moment = 5.90 μB/f.u.
space-group type = P2/m, No. 10
raw formation energy = -12.93 eV per formula unit

abc: 6.9006 3.9599 6.9023
angles: 90.00 109.09 90.00
Fractional coordinates of all 8 atoms:
Er 0.0000 0.0000 0.0000
Pu 0.0000 0.5000 0.5000
Sc 0.5000 0.0000 0.5000
Sc 0.5000 0.5000 0.0000
Se 0.2644 0.5000 0.2506
Se 0.2669 0.0000 0.7595
Se 0.7331 0.0000 0.2405
Se 0.7356 0.5000 0.7494



Compound: Li2AcPmIn4
Source: Alexandria via LeMat-Bulk
Functional: PBE-GGA
Structure: relaxed

total magnetic moment = 0.00 μB/f.u.
energy relative to the elements = -0.395 eV/atom
space-group type = R-3m, No. 166

abc: 11.3106 11.3106 11.3106
angles: 24.38 24.38 24.38
Fractional coordinates of all 8 atoms:
Li 0.2412 0.2412 0.2412
Li 0.7588 0.7588 0.7588
Ac 0.0000 0.0000 0.0000
Pm 0.5000 0.5000 0.5000
In 0.1129 0.1129 0.1129
In 0.3986 0.3986 0.3986
In 0.6014 0.6014 0.6014
In 0.8871 0.8871 0.8871



Compound: Ce2NdSmBi4
Source: Alexandria via LeMat-Bulk
Functional: PBE-GGA
Structure: relaxed

total magnetic moment = 1.67 μB/f.u.
energy relative to the elements = -0.868 eV/atom
space-group type = P2/m, No. 10

abc: 7.9538 4.5923 7.9569
angles: 90.00 109.47 90.00
Fractional coordinates of all 8 atoms:
Ce 0.0000 0.0000 0.0000
Ce 0.0000 0.5000 0.5000
Nd 0.5000 0.0000 0.5000
Sm 0.5000 0.5000 0.0000
Bi 0.2488 0.5000 0.2481
Bi 0.2499 0.0000 0.7514
Bi 0.7501 0.0000 0.2486
Bi 0.7512 0.5000 0.7519



Compound: NaCa3Hg
Source: Alexandria via LeMat-Bulk
Functional: PBE-GGA
Structure: relaxed

total magnetic moment = 0.00 μB/f.u.
energy relative to the elements = -0.180 eV/atom
space-group type = Pmmn, No. 59
energy above the lowest structure with this stoichiometry = 23.7 meV per atom

abc: 5.0861 9.4881 7.2888
angles: 90.00 90.00 90.00
Fractional coordinates of all 10 atoms:
Na 0.2500 0.2500 0.0631
Na 0.7500 0.7500 0.9369
Ca 0.2500 0.5498 0.6987
Ca 0.2500 0.7500 0.2547
Ca 0.2500 0.9502 0.6987
Ca 0.7500 0.0498 0.3013
Ca 0.7500 0.2500 0.7453
Ca 0.7500 0.4502 0.3013
Hg 0.2500 0.2500 0.4803
Hg 0.7500 0.7500 0.5197



Compound: HoFeSi
Source: Alexandria via LeMat-Bulk
Functional: PBE-GGA
Structure: relaxed

total magnetic moment = 0.00 μB/f.u.
space-group type = P4/nmm, No. 129
raw formation energy = -1.94 eV per formula unit

abc: 4.0287 4.0287 6.4475
angles: 90.00 90.00 90.00
Fractional coordinates of all 6 atoms:
Ho 0.2500 0.2500 0.1848
Ho 0.7500 0.7500 0.8152
Fe 0.2500 0.7500 0.5000
Fe 0.7500 0.2500 0.5000
Si 0.2500 0.2500 0.6812
Si 0.7500 0.7500 0.3188



Compound: InSBr3
Source: Alexandria via LeMat-Bulk
Functional: PBE-GGA
Structure: relaxed

total magnetic moment = 0.00 μB/f.u.
space-group type = Pm-3m, No. 221
energy above the lowest structure with this stoichiometry = 0.0 meV per atom
raw formation energy = -0.61 eV per formula unit

abc: 5.2874 5.2874 5.2874
angles: 90.00 90.00 90.00
Fractional coordinates of all 5 atoms:
In 0.0000 0.0000 0.0000
S 0.5000 0.5000 0.5000
Br 0.0000 0.5000 0.5000
Br 0.5000 0.0000 0.5000
Br 0.5000 0.5000 0.0000



Compound: KCdP
Source: Alexandria via LeMat-Bulk
Functional: PBE-GGA
Structure: relaxed

total magnetic moment = 0.00 μB/f.u.
energy relative to the elements = -0.340 eV/atom
space-group type = P-6m2, No. 187

abc: 4.4147 4.4147 5.1614
angles: 90.00 90.00 120.00
Fractional coordinates of all 3 atoms:
K 0.0000 0.0000 0.0000
Cd 0.3333 0.6667 0.5000
P 0.6667 0.3333 0.5000



Compound: NaZrAl2
Source: Alexandria via LeMat-Bulk
Functional: PBE-GGA
Structure: relaxed

total magnetic moment = 0.00 μB/f.u.
energy relative to the elements = 0.096 eV/atom
space-group type = Fm-3m, No. 225
energy above the lowest structure with this stoichiometry = 245.9 meV per atom

abc: 4.8436 4.8436 4.8436
angles: 60.00 60.00 60.00
Fractional coordinates of all 4 atoms:
Na 0.0000 0.0000 0.0000
Zr 0.5000 0.5000 0.5000
Al 0.2500 0.2500 0.2500
Al 0.7500 0.7500 0.7500



Compound: La2Cd5Sn
Source: Alexandria via LeMat-Bulk
Functional: PBE-GGA
Structure: relaxed

total magnetic moment = 0.00 μB/f.u.
energy relative to the elements = -0.402 eV/atom
space-group type = Cmcm, No. 63

abc: 9.2756 9.2756 9.9528
angles: 90.00 90.00 149.90
Fractional coordinates of all 16 atoms:
La 0.0000 0.0000 0.0000
La 0.0000 0.0000 0.5000
La 0.1991 0.8009 0.7500
La 0.8009 0.1991 0.2500
Cd 0.1893 0.8107 0.1058
Cd 0.1893 0.8107 0.3942
Cd 0.3501 0.6499 0.0274
Cd 0.3501 0.6499 0.4726
Cd 0.3943 0.6057 0.7500
Cd 0.6057 0.3943 0.2500
Cd 0.6499 0.3501 0.5274
Cd 0.6499 0.3501 0.9726
Cd 0.8107 0.1893 0.6058
Cd 0.8107 0.1893 0.8942
Sn 0.4495 0.5505 0.2500
Sn 0.5505 0.4495 0.7500



Compound: Sr2MnCrN4
Source: Alexandria via LeMat-Bulk
Functional: PBE-GGA
Structure: relaxed

total magnetic moment = 0.00 μB/f.u.
space-group type = Pmmn, No. 59
raw formation energy = -5.50 eV per formula unit

abc: 5.6072 6.7106 6.0597
angles: 90.00 90.00 90.00
Fractional coordinates of all 16 atoms:
Sr 0.2500 0.0002 0.2429
Sr 0.2500 0.4998 0.2429
Sr 0.7500 0.9998 0.7571
Sr 0.7500 0.5002 0.7571
Mn 0.2500 0.2500 0.6864
Mn 0.7500 0.7500 0.3136
Cr 0.2500 0.7500 0.6812
Cr 0.7500 0.2500 0.3188
N 0.0008 0.7500 0.4970
N 0.2500 0.5016 0.8176
N 0.2500 0.9984 0.8176
N 0.4992 0.7500 0.4970
N 0.5008 0.2500 0.5030
N 0.7500 0.0016 0.1824
N 0.7500 0.4984 0.1824
N 0.9992 0.2500 0.5030



Compound: AcHo2Ge
Source: Alexandria via LeMat-Bulk
Functional: PBE-GGA
Structure: relaxed

total magnetic moment = 0.00 μB/f.u.
energy relative to the elements = -0.203 eV/atom
space-group type = P4/mmm, No. 123
energy above the lowest structure with this stoichiometry = 76.5 meV per atom

abc: 4.8562 4.8562 4.8504
angles: 90.00 90.00 90.00
Fractional coordinates of all 4 atoms:
Ac 0.0000 0.0000 0.0000
Ho 0.0000 0.5000 0.5000
Ho 0.5000 0.0000 0.5000
Ge 0.5000 0.5000 0.0000



Compound: Mg2TcNi
Source: Alexandria via LeMat-Bulk
Functional: PBE-GGA
Structure: relaxed

total magnetic moment = 1.99 μB/f.u.
energy relative to the elements = 0.296 eV/atom
space-group type = Fm-3m, No. 225
energy above the lowest structure with this stoichiometry = 230.7 meV per atom

abc: 4.4293 4.4293 4.4293
angles: 60.00 60.00 60.00
Fractional coordinates of all 4 atoms:
Mg 0.2500 0.2500 0.2500
Mg 0.7500 0.7500 0.7500
Tc 0.0000 0.0000 0.0000
Ni 0.5000 0.5000 0.5000



Compound: YMg2Cu
Source: Alexandria via LeMat-Bulk
Functional: PBE-GGA
Structure: relaxed

total magnetic moment = 0.00 μB/f.u.
energy relative to the elements = 0.111 eV/atom
space-group type = C2/m, No. 12

abc: 6.2185 6.2185 3.1227
angles: 102.60 102.60 123.23
Fractional coordinates of all 4 atoms:
Y 0.0000 0.0000 0.0000
Mg 0.0000 0.5000 0.5000
Mg 0.5000 0.0000 0.5000
Cu 0.5000 0.5000 0.0000



Compound: Pr2SmGe
Source: Alexandria via LeMat-Bulk
Functional: PBE-GGA
Structure: relaxed

total magnetic moment = 0.00 μB/f.u.
energy relative to the elements = -0.337 eV/atom
space-group type = P4/mmm, No. 123
energy above the lowest structure with this stoichiometry = 0.0 meV per atom

abc: 4.8100 4.8100 4.8545
angles: 90.00 90.00 90.00
Fractional coordinates of all 4 atoms:
Pr 0.0000 0.5000 0.0000
Pr 0.5000 0.0000 0.0000
Sm 0.0000 0.0000 0.5000
Ge 0.5000 0.5000 0.5000



Compound: TlFe2Rh
Source: Alexandria via LeMat-Bulk
Functional: PBE-GGA
Structure: relaxed

total magnetic moment = 5.53 μB/f.u.
energy relative to the elements = 0.272 eV/atom
space-group type = F-43m, No. 216
energy above the lowest structure with this stoichiometry = 43.0 meV per atom

abc: 4.4076 4.4076 4.4076
angles: 60.00 60.00 60.00
Fractional coordinates of all 4 atoms:
Tl 0.0000 0.0000 0.0000
Fe 0.5000 0.5000 0.5000
Fe 0.7500 0.7500 0.7500
Rh 0.2500 0.2500 0.2500



Compound: GdTlZnHg
Source: Alexandria via LeMat-Bulk
Functional: PBE-GGA
Structure: relaxed

total magnetic moment = 7.02 μB/f.u.
energy relative to the elements = -0.217 eV/atom
space-group type = F-43m, No. 216

abc: 5.1318 5.1318 5.1318
angles: 60.00 60.00 60.00
Fractional coordinates of all 4 atoms:
Gd 0.0000 0.0000 0.0000
Tl 0.5000 0.5000 0.5000
Zn 0.7500 0.7500 0.7500
Hg 0.2500 0.2500 0.2500



Compound: TmBeNi4
Source: Alexandria via LeMat-Bulk
Functional: PBE-GGA
Structure: relaxed

total magnetic moment = 0.01 μB/f.u.
energy relative to the elements = -0.252 eV/atom
space-group type = F-43m, No. 216
energy above the lowest structure with this stoichiometry = 99.2 meV per atom

abc: 4.7977 4.7977 4.7977
angles: 60.00 60.00 60.00
Fractional coordinates of all 6 atoms:
Tm 0.0000 0.0000 0.0000
Be 0.7500 0.7500 0.7500
Ni 0.3763 0.3763 0.3763
Ni 0.3763 0.3763 0.8711
Ni 0.3763 0.8711 0.3763
Ni 0.8711 0.3763 0.3763



Compound: Tb2YErP4
Source: Alexandria via LeMat-Bulk
Functional: PBE-GGA
Structure: relaxed

total magnetic moment = 0.00 μB/f.u.
energy relative to the elements = -1.616 eV/atom
space-group type = P2/m, No. 10

abc: 6.9435 4.0110 6.9444
angles: 90.00 109.46 90.00
Fractional coordinates of all 8 atoms:
Tb 0.0000 0.0000 0.0000
Tb 0.0000 0.5000 0.5000
Y 0.5000 0.0000 0.5000
Er 0.5000 0.5000 0.0000
P 0.2517 0.5000 0.2492
P 0.2526 0.0000 0.7522
P 0.7474 0.0000 0.2478
P 0.7483 0.5000 0.7508